No. 1
Compound: PmTlIrAu
Source: Alexandria
Functional: GGA-PBE
Structure: optimized geometry

* ΔH_f (0 K): -0.240 eV/atom
* density of states at the Fermi level: 3.1 states/eV/cell

Lattice parameters (Å, degrees): 4.9668 4.9668 4.9668 60.00 60.00 60.00
Last column: nearest neighbours and their distance in Å.
Element x y z (fractional)
Pm1 0.0000 0.0000 0.0000  4 Ir 3.04, 4 Au 3.04
Tl1 0.5000 0.5000 0.5000  4 Ir 3.04, 4 Au 3.04
Ir1 0.7500 0.7500 0.7500  4 Tl 3.04, 4 Pm 3.04
Au1 0.2500 0.2500 0.2500  4 Tl 3.04, 4 Pm 3.04


No. 2
Compound: HoEr3Tm2
Source: Alexandria
Functional: GGA-PBE
Structure: optimized geometry

* relative energy among the computed polymorphs: 0.000 eV/f.u.
* ΔH_f (0 K): 0.025 eV/atom
* density of states at the Fermi level: 17.2 states/eV/cell

Lattice parameters (Å, degrees): 9.2489 9.2489 6.0484 90.04 90.04 44.42
Last column: nearest neighbours and their distance in Å.
Element x y z (fractional)
Ho1 0.1251 0.8749 0.7500  2 Ho 3.49, 8 Er 3.49-3.50, 2 Tm 3.50
Ho2 0.8749 0.1251 0.2500  2 Ho 3.49, 8 Er 3.49-3.50, 2 Tm 3.50
Er1 0.0418 0.2922 0.9166  4 Er 3.48-3.50, 6 Tm 3.49-3.50, 2 Ho 3.50
Er2 0.2922 0.0418 0.4166  4 Er 3.48-3.50, 6 Tm 3.49-3.50, 2 Ho 3.50
Er3 0.3753 0.6247 0.2500  4 Er 3.49-3.50, 4 Ho 3.49-3.50, 4 Tm 3.50
Er4 0.6247 0.3753 0.7500  4 Er 3.49-3.50, 4 Ho 3.49-3.50, 4 Tm 3.50
Er5 0.7078 0.9582 0.5834  4 Er 3.48-3.50, 6 Tm 3.49-3.50, 2 Ho 3.50
Er6 0.9582 0.7078 0.0834  4 Er 3.48-3.50, 6 Tm 3.49-3.50, 2 Ho 3.50
Tm1 0.2082 0.4581 0.5830  8 Er 3.49-3.50, 3 Tm 3.49, 1 Ho 3.50
Tm2 0.4581 0.2082 0.0830  8 Er 3.49-3.50, 3 Tm 3.49, 1 Ho 3.50
Tm3 0.5419 0.7918 0.9170  8 Er 3.49-3.50, 3 Tm 3.49, 1 Ho 3.50
Tm4 0.7918 0.5419 0.4170  8 Er 3.49-3.50, 3 Tm 3.49, 1 Ho 3.50


No. 3
Compound: TiNb2Au2
Source: Alexandria
Functional: GGA-PBE
Structure: optimized geometry

* relative energy among the computed polymorphs: 1.167 eV/f.u.
* ΔH_f (0 K): 0.402 eV/atom
* density of states at the Fermi level: 8.5 states/eV/cell

Lattice parameters (Å, degrees): 7.4450 7.4450 7.4450 150.60 150.60 42.06
Last column: nearest neighbours and their distance in Å.
Element x y z (fractional)
Ti1 0.0000 0.0000 0.0000  8 Nb 2.96
Nb1 0.4076 0.4076 0.0000  1 Nb 2.57
Nb2 0.5924 0.5924 0.0000  1 Nb 2.57
Au1 0.2500 0.7500 0.5000  4 Au 2.67, 4 Nb 2.89
Au2 0.7500 0.2500 0.5000  4 Au 2.67, 4 Nb 2.89


No. 4
Compound: BiOs
Source: Alexandria
Functional: GGA-PBE
Structure: optimized geometry

* relative energy among the computed polymorphs: 1.363 eV/f.u.
* ΔH_f (0 K): 1.391 eV/atom
* density of states at the Fermi level: 3.9 states/eV/cell

Lattice parameters (Å, degrees): 3.9504 3.9504 3.9504 60.00 60.00 60.00
Last column: nearest neighbours and their distance in Å.
Element x y z (fractional)
Bi1 0.0000 0.0000 0.0000  6 Os 2.79
Os1 0.5000 0.5000 0.5000  6 Bi 2.79


No. 5
Compound: NbHRh2
Source: Alexandria
Functional: GGA-PBE
Structure: optimized geometry

* relative energy among the computed polymorphs: 0.721 eV/f.u.
* density of states at the Fermi level: 3.4 states/eV/cell

Lattice parameters (Å, degrees): 2.9010 2.9010 6.1003 90.00 90.00 90.00
Last column: nearest neighbours and their distance in Å.
Element x y z (fractional)
Nb1 0.0000 0.0000 0.0000  8 Rh 2.71, 4 Nb 2.90
H1 0.0000 0.0000 0.5000  8 Rh 2.42
Rh1 0.5000 0.5000 0.2905  4 H 2.42, 1 Rh 2.56
Rh2 0.5000 0.5000 0.7095  4 H 2.42, 1 Rh 2.56


No. 6
Compound: CsTl2Br6
Source: Alexandria
Functional: GGA-PBE
Structure: optimized geometry

* relative energy among the computed polymorphs: 0.060 eV/f.u.
* formation energy (no corrections): -0.774 eV per atom
* density of states at the Fermi level: 4.8 states/eV/cell

Lattice parameters (Å, degrees): 7.7548 7.7548 7.6648 90.00 90.00 120.00
Last column: nearest neighbours and their distance in Å.
Element x y z (fractional)
Cs1 0.0000 0.0000 0.0000  6 Br 3.72
Tl1 0.3333 0.6667 0.5000  6 Br 2.91
Tl2 0.6667 0.3333 0.5000  6 Br 2.91
Br1 0.0000 0.3876 0.7136  2 Tl 2.91
Br2 0.0000 0.6124 0.2864  2 Tl 2.91
Br3 0.3876 0.0000 0.7136  2 Tl 2.91
Br4 0.3876 0.3876 0.2864  2 Tl 2.91
Br5 0.6124 0.0000 0.2864  2 Tl 2.91
Br6 0.6124 0.6124 0.7136  2 Tl 2.91


Question: Which of these has the lowest density of states at the Fermi level?
Answer: PmTlIrAu


Copy entry 4 word for word.
Compound: BiOs
Source: Alexandria
Functional: GGA-PBE
Structure: optimized geometry

* relative energy among the computed polymorphs: 1.363 eV/f.u.
* ΔH_f (0 K): 1.391 eV/atom
* density of states at the Fermi level: 3.9 states/eV/cell

Lattice parameters (Å, degrees): 3.9504 3.9504 3.9504 60.00 60.00 60.00
Last column: nearest neighbours and their distance in Å.
Element x y z (fractional)
Bi1 0.0000 0.0000 0.0000  6 Os 2.79
Os1 0.5000 0.5000 0.5000  6 Bi 2.79


Question: What is the formula in the third record?
Answer: TiNb2Au2